# 1
BeAl2Cl | PBE | optimized geometry

Total magnetization in μB/f.u.: 0.0
Final energy in eV per atom: -3.12

Cell lengths 5.3908, 5.3908, 5.3908 Å; angles 148.18, 122.96, 66.81 degrees
Positions (direct):
Be 0.5136 0.5136 0.0000
Al 0.0099 0.0099 0.0000
Al 0.2951 0.7951 0.5000
Cl 0.6814 0.1814 0.5000

***

# 2
BeAlCl | PBE | optimized geometry

Total magnetization in μB/f.u.: 0.0
Final energy in eV per atom: -2.64

Cell lengths 4.4234, 4.4234, 2.9451 Å; angles 90.00, 90.00, 120.00 degrees
Positions (direct):
Be 0.6667 0.3333 0.4991
Al 0.0000 0.0000 0.9979
Cl 0.3333 0.6667 0.5030

***

DOS(E_F) list, top to bottom, in states/eV/f.u.: 1.13 0.69
ΔE_f (raw) list, top to bottom, in eV per atom: 0.142 0.463